1.
Computed, not measured: Ca3In8Hg3 after structural relaxation at the PBE level of DFT.

Summary:
Space group: Immm, No. 71
Mass density, Mg/m³: 7.203
Total moment, Bohr magnetons per cell: 0.00
Energy of formation, eV/atom: -0.26
Raw total energy, eV/atom: -2.32

abc: 4.910 9.159 9.159
angles: 78.03 74.45 74.45
Atoms (fractional coordinates):
Hg 0.500 0.000 0.000
In 0.148 0.478 0.225
In 0.358 0.919 0.366
In 0.852 0.775 0.522
Hg 0.000 0.171 0.829
Hg 0.000 0.829 0.171
In 0.852 0.522 0.775
In 0.642 0.634 0.081
In 0.148 0.225 0.478
In 0.358 0.366 0.919
In 0.642 0.081 0.634
Ca 0.806 0.194 0.194
Ca 0.500 0.500 0.500
Ca 0.194 0.806 0.806

=====

2.
Computed, not measured: NdDyCoIr after structural relaxation at the PBE level of DFT.

Summary:
Space group: F-43m, No. 216
Mass density, Mg/m³: 11.216
Total moment, Bohr magnetons per cell: 0.55
Energy of formation, eV/atom: -0.38
Raw total energy, eV/atom: -6.71

abc: 4.888 4.888 4.888
angles: 60.00 60.00 60.00
Atoms (fractional coordinates):
Dy 0.750 0.750 0.750
Nd 0.250 0.250 0.250
Co 0.000 0.000 0.000
Ir 0.500 0.500 0.500

=====

3.
Computed, not measured: InCo2TeH after structural relaxation at the PBE level of DFT.

Summary:
Space group: P4/mmm, No. 123
Mass density, Mg/m³: 8.570
Total moment, Bohr magnetons per cell: 1.58
Raw total energy, eV/atom: -4.13

abc: 4.241 3.893 4.241
angles: 90.00 90.00 90.00
Atoms (fractional coordinates):
Co 0.000 0.000 0.500
Co 0.500 0.000 0.000
Te 0.500 0.500 0.500
H 0.000 0.000 0.000
In 0.000 0.500 0.000

=====

- Which formula does entry 3 have?
  InCo2TeH

=====

Copy entry 2 word for word.
Computed, not measured: NdDyCoIr after structural relaxation at the PBE level of DFT.

Summary:
Space group: F-43m, No. 216
Mass density, Mg/m³: 11.216
Total moment, Bohr magnetons per cell: 0.55
Energy of formation, eV/atom: -0.38
Raw total energy, eV/atom: -6.71

abc: 4.888 4.888 4.888
angles: 60.00 60.00 60.00
Atoms (fractional coordinates):
Dy 0.750 0.750 0.750
Nd 0.250 0.250 0.250
Co 0.000 0.000 0.000
Ir 0.500 0.500 0.500